Entry 1:
Entry from the Alexandria database: an optimized crystal structure of LaPm3Y3Te8 (PBE).

Output
E_form (uncorrected)   -1.44 eV per atom
Space-group type   R-3m, No. 166

Cell: 8.821 8.821 8.821 Å, 59.98 59.98 59.98°
Atoms (fractional coordinates):
La: 0.000 0.000 0.000
Pm: 0.000 0.000 0.500
Pm: 0.000 0.500 0.000
Pm: 0.500 0.000 0.000
Y: 0.000 0.500 0.500
Y: 0.500 0.000 0.500
Y: 0.500 0.500 0.000
Te: 0.253 0.253 0.253
Te: 0.261 0.261 0.733
Te: 0.261 0.733 0.261
Te: 0.267 0.739 0.739
Te: 0.733 0.261 0.261
Te: 0.739 0.267 0.739
Te: 0.739 0.739 0.267
Te: 0.747 0.747 0.747

Entry 2:
Entry from the Alexandria database: an optimized crystal structure of LaPm2Th (PBE).

Output
E above lowest polymorph   0.01 eV per formula unit
Space-group type   C2/m, No. 12
Calculated formation energy   0.027 eV/atom

Cell: 3.653 3.653 12.085 Å, 98.63 98.63 59.94°
Atoms (fractional coordinates):
La: 0.000 0.000 0.000
Pm: 0.247 0.247 0.740
Pm: 0.753 0.753 0.260
Th: 0.500 0.500 0.500

Entry 3:
Entry from the Alexandria database: an optimized crystal structure of LaPm2Th6 (PBE).

Output
Space-group type   P-6m2, No. 187
Calculated formation energy   0.099 eV/atom

Cell: 3.559 3.559 27.378 Å, 90.00 90.00 120.00°
Atoms (fractional coordinates):
La: 0.000 0.000 0.000
Pm: 0.667 0.333 0.330
Pm: 0.667 0.333 0.670
Th: 0.000 0.000 0.220
Th: 0.000 0.000 0.440
Th: 0.000 0.000 0.560
Th: 0.000 0.000 0.780
Th: 0.667 0.333 0.113
Th: 0.667 0.333 0.887

Entry 4:
Entry from the Alexandria database: an optimized crystal structure of La3Pm3Th (PBE).

Output
Space-group type   P2_1/m, No. 11
Calculated formation energy   0.125 eV/atom

Cell: 11.557 3.640 11.998 Å, 90.00 90.73 90.00°
Atoms (fractional coordinates):
La: 0.012 0.250 0.365
La: 0.054 0.250 0.893
La: 0.446 0.250 0.887
La: 0.554 0.750 0.113
La: 0.946 0.750 0.107
La: 0.988 0.750 0.635
Pm: 0.249 0.250 0.684
Pm: 0.258 0.250 0.157
Pm: 0.260 0.750 0.430
Pm: 0.740 0.250 0.570
Pm: 0.742 0.750 0.843
Pm: 0.751 0.750 0.316
Th: 0.497 0.750 0.628
Th: 0.503 0.250 0.372

Entry 5:
Entry from the Alexandria database: an optimized crystal structure of La7Pm2Th (PBE).

Output
Space-group type   P2/m, No. 10
Calculated formation energy   0.022 eV/atom

Cell: 9.065 3.678 11.119 Å, 90.00 105.80 90.00°
Atoms (fractional coordinates):
La: 0.000 0.000 0.000
La: 0.102 0.500 0.303
La: 0.300 0.500 0.899
La: 0.400 0.000 0.212
La: 0.600 0.000 0.788
La: 0.700 0.500 0.101
La: 0.898 0.500 0.697
Pm: 0.212 0.000 0.597
Pm: 0.788 0.000 0.403
Th: 0.500 0.500 0.500

Entry 6:
Entry from the Alexandria database: an optimized crystal structure of LaPm9Th2 (PBE).

Output
Space-group type   P4/mmm, No. 123
Calculated formation energy   0.038 eV/atom

Cell: 5.146 5.146 15.475 Å, 90.00 90.00 90.00°
Atoms (fractional coordinates):
La: 0.000 0.000 0.000
Pm: 0.000 0.500 0.172
Pm: 0.000 0.500 0.500
Pm: 0.000 0.500 0.828
Pm: 0.500 0.000 0.172
Pm: 0.500 0.000 0.500
Pm: 0.500 0.000 0.828
Pm: 0.500 0.500 0.000
Pm: 0.500 0.500 0.335
Pm: 0.500 0.500 0.665
Th: 0.000 0.000 0.334
Th: 0.000 0.000 0.666